Density functional theory data (GGA-PBE) for a relaxed AlIrOs2 crystal.

Results
- energy (eV per atom) = -8.739
- DOS at the Fermi energy (states/eV per atom) = 1.17
- symmetry = P4/mmm, No. 123

Cell: 3.7804 3.7804 4.0279 Å, 90.00 90.00 90.00°
Last column: nearest neighbours and their distance in Å.
Fractional coordinates of all 4 atoms:
Al  0.0000  0.0000  0.0000  4 Ir 2.67, 8 Os 2.76
Ir  0.5000  0.5000  0.0000  4 Al 2.67, 8 Os 2.76
Os  0.0000  0.5000  0.5000  4 Os 2.67, 4 Ir 2.76, 4 Al 2.76
Os  0.5000  0.0000  0.5000  4 Os 2.67, 4 Ir 2.76, 4 Al 2.76



Density functional theory data (GGA-PBE) for a relaxed AlIrOs2 crystal.

Results
- energy (eV per atom) = -7.547
- DOS at the Fermi energy (states/eV per atom) = 0.89
- symmetry = I-42d, No. 122

Cell: 5.5188 5.5188 11.5139 Å, 90.00 90.00 90.00°
Last column: nearest neighbours and their distance in Å.
Fractional coordinates of all 16 atoms:
Al  0.0000  0.0000  0.0000  4 Os 2.47
Al  0.0000  0.5000  0.2500  4 Os 2.47
Al  0.5000  0.0000  0.7500  4 Os 2.47
Al  0.5000  0.5000  0.5000  4 Os 2.47
Ir  0.0000  0.0000  0.5000  4 Os 2.38
Ir  0.0000  0.5000  0.7500  4 Os 2.38
Ir  0.5000  0.0000  0.2500  4 Os 2.38
Ir  0.5000  0.5000  0.0000  4 Os 2.38
Os  0.2355  0.2500  0.6250  2 Ir 2.38, 2 Al 2.47
Os  0.2500  0.7355  0.8750  2 Ir 2.38, 2 Al 2.47
Os  0.2500  0.7645  0.3750  2 Ir 2.38, 2 Al 2.47
Os  0.2645  0.2500  0.1250  2 Ir 2.38, 2 Al 2.47
Os  0.7355  0.7500  0.1250  2 Ir 2.38, 2 Al 2.47
Os  0.7500  0.2355  0.3750  2 Ir 2.38, 2 Al 2.47
Os  0.7500  0.2645  0.8750  2 Ir 2.38, 2 Al 2.47
Os  0.7645  0.7500  0.6250  2 Ir 2.38, 2 Al 2.47



Density functional theory data (GGA-PBE) for a relaxed AlIr2Os crystal.

Results
- energy (eV per atom) = -7.467
- DOS at the Fermi energy (states/eV per atom) = 0.68
- symmetry = I-42d, No. 122

Cell: 5.3387 5.3387 12.0525 Å, 90.00 90.00 90.00°
Last column: nearest neighbours and their distance in Å.
Fractional coordinates of all 16 atoms:
Al  0.0000  0.0000  0.0000  4 Ir 2.44
Al  0.0000  0.5000  0.2500  4 Ir 2.44
Al  0.5000  0.0000  0.7500  4 Ir 2.44
Al  0.5000  0.5000  0.5000  4 Ir 2.44
Ir  0.2404  0.2500  0.6250  2 Os 2.39, 2 Al 2.44
Ir  0.2500  0.7404  0.8750  2 Os 2.39, 2 Al 2.44
Ir  0.2500  0.7596  0.3750  2 Os 2.39, 2 Al 2.44
Ir  0.2596  0.2500  0.1250  2 Os 2.39, 2 Al 2.44
Ir  0.7404  0.7500  0.1250  2 Os 2.39, 2 Al 2.44
Ir  0.7500  0.2404  0.3750  2 Os 2.39, 2 Al 2.44
Ir  0.7500  0.2596  0.8750  2 Os 2.39, 2 Al 2.44
Ir  0.7596  0.7500  0.6250  2 Os 2.39, 2 Al 2.44
Os  0.0000  0.0000  0.5000  4 Ir 2.39
Os  0.0000  0.5000  0.7500  4 Ir 2.39
Os  0.5000  0.0000  0.2500  4 Ir 2.39
Os  0.5000  0.5000  0.0000  4 Ir 2.39



Density functional theory data (GGA-PBE) for a relaxed AlIr2Os crystal.

Results
- energy (eV per atom) = -8.444
- DOS at the Fermi energy (states/eV per atom) = 0.91
- symmetry = Cm, No. 8

Cell: 8.9921 2.7759 4.6873 Å, 90.00 100.94 90.00°
Last column: nearest neighbours and their distance in Å.
Fractional coordinates of all 8 atoms:
Al  0.0000  0.0000  0.0000  7 Ir 2.64-2.74, 2 Al 2.78, 3 Os 2.78-2.83
Al  0.5000  0.5000  0.0000  7 Ir 2.64-2.74, 2 Al 2.78, 3 Os 2.78-2.83
Ir  0.0017  0.5000  0.5036  3 Os 2.64, 4 Al 2.71-2.74, 5 Ir 2.78-2.81
Ir  0.2459  0.5000  0.2114  3 Al 2.64-2.66, 4 Os 2.72-2.73, 5 Ir 2.78-2.81
Ir  0.5017  0.0000  0.5036  3 Os 2.64, 4 Al 2.71-2.74, 5 Ir 2.78-2.81
Ir  0.7459  0.0000  0.2114  3 Al 2.64-2.66, 4 Os 2.72-2.73, 5 Ir 2.78-2.81
Os  0.2487  0.0000  0.7109  7 Ir 2.64-2.73, 2 Os 2.78, 3 Al 2.78-2.83
Os  0.7487  0.5000  0.7109  7 Ir 2.64-2.73, 2 Os 2.78, 3 Al 2.78-2.83



Density functional theory data (GGA-PBE) for a relaxed AlIrOs2 crystal.

Results
- energy (eV per atom) = -8.563
- DOS at the Fermi energy (states/eV per atom) = 1.23
- symmetry = Cmm2, No. 35

Cell: 2.7886 4.7218 8.8747 Å, 90.00 90.00 90.00°
Last column: nearest neighbours and their distance in Å.
Fractional coordinates of all 8 atoms:
Al  0.0000  0.0000  0.0000  2 Ir 2.50, 2 Os 2.56, 6 Al 2.74-2.79
Al  0.5000  0.5000  0.0000  2 Ir 2.50, 2 Os 2.56, 6 Al 2.74-2.79
Ir  0.0000  0.5000  0.7661  2 Al 2.50, 6 Ir 2.74-2.79, 2 Os 2.77
Ir  0.5000  0.0000  0.7661  2 Al 2.50, 6 Ir 2.74-2.79, 2 Os 2.77
Os  0.0000  0.0000  0.4970  8 Os 2.66-2.79, 2 Ir 2.77
Os  0.0000  0.5000  0.2417  2 Al 2.56, 8 Os 2.66-2.79
Os  0.5000  0.0000  0.2417  2 Al 2.56, 8 Os 2.66-2.79
Os  0.5000  0.5000  0.4970  8 Os 2.66-2.79, 2 Ir 2.77



Density functional theory data (GGA-PBE) for a relaxed AlIrOs2 crystal.

Results
- energy (eV per atom) = -8.828
- DOS at the Fermi energy (states/eV per atom) = 0.73
- symmetry = R-3m, No. 166

Cell: 2.7527 2.7527 26.1389 Å, 90.00 90.00 120.00°
Last column: nearest neighbours and their distance in Å.
Fractional coordinates of all 12 atoms:
Al  0.0000  0.0000  0.0000  6 Os 2.66, 6 Al 2.75
Al  0.3333  0.6667  0.6667  6 Os 2.66, 6 Al 2.75
Al  0.6667  0.3333  0.3333  6 Os 2.66, 6 Al 2.75
Ir  0.0000  0.0000  0.5000  6 Os 2.73, 6 Ir 2.75
Ir  0.3333  0.6667  0.1667  6 Os 2.73, 6 Ir 2.75
Ir  0.6667  0.3333  0.8333  6 Os 2.73, 6 Ir 2.75
Os  0.0000  0.0000  0.2517  3 Al 2.66, 3 Ir 2.73, 6 Os 2.75
Os  0.0000  0.0000  0.7483  3 Al 2.66, 3 Ir 2.73, 6 Os 2.75
Os  0.3333  0.6667  0.4150  3 Al 2.66, 3 Ir 2.73, 6 Os 2.75
Os  0.3333  0.6667  0.9183  3 Al 2.66, 3 Ir 2.73, 6 Os 2.75
Os  0.6667  0.3333  0.0817  3 Al 2.66, 3 Ir 2.73, 6 Os 2.75
Os  0.6667  0.3333  0.5850  3 Al 2.66, 3 Ir 2.73, 6 Os 2.75



Density functional theory data (GGA-PBE) for a relaxed AlIrOs2 crystal.

Results
- energy (eV per atom) = -8.809
- DOS at the Fermi energy (states/eV per atom) = 0.76
- symmetry = Imm2, No. 44

Cell: 2.8950 4.4251 8.8480 Å, 90.00 90.00 90.00°
Last column: nearest neighbours and their distance in Å.
Fractional coordinates of all 8 atoms:
Al  0.0000  0.0000  0.0000  2 Ir 2.47, 6 Os 2.51-2.64
Al  0.5000  0.5000  0.5000  2 Ir 2.47, 6 Os 2.51-2.64
Ir  0.0000  0.5000  0.7265  2 Al 2.47, 4 Os 2.67
Ir  0.5000  0.0000  0.2265  2 Al 2.47, 4 Os 2.67
Os  0.0000  0.0000  0.5057  4 Al 2.64, 4 Os 2.74-2.90, 4 Ir 2.86-2.95
Os  0.0000  0.5000  0.2685  2 Al 2.51, 4 Ir 2.67, 2 Os 2.74
Os  0.5000  0.0000  0.7685  2 Al 2.51, 4 Ir 2.67, 2 Os 2.74
Os  0.5000  0.5000  0.0057  4 Al 2.64, 4 Os 2.74-2.90, 4 Ir 2.86-2.95



Density functional theory data (GGA-PBE) for a relaxed AlIr2Os crystal.

Results
- energy (eV per atom) = -8.424
- DOS at the Fermi energy (states/eV per atom) = 1.13
- symmetry = R-3m, No. 166

Cell: 2.7827 2.7827 25.6058 Å, 90.00 90.00 120.00°
Last column: nearest neighbours and their distance in Å.
Fractional coordinates of all 12 atoms:
Al  0.0000  0.0000  0.0000  6 Ir 2.62, 6 Al 2.78
Al  0.3333  0.6667  0.6667  6 Ir 2.62, 6 Al 2.78
Al  0.6667  0.3333  0.3333  6 Ir 2.62, 6 Al 2.78
Ir  0.0000  0.0000  0.2524  3 Al 2.62, 3 Os 2.72, 6 Ir 2.78
Ir  0.0000  0.0000  0.7476  3 Al 2.62, 3 Os 2.72, 6 Ir 2.78
Ir  0.3333  0.6667  0.4142  3 Al 2.62, 3 Os 2.72, 6 Ir 2.78
Ir  0.3333  0.6667  0.9191  3 Al 2.62, 3 Os 2.72, 6 Ir 2.78
Ir  0.6667  0.3333  0.0809  3 Al 2.62, 3 Os 2.72, 6 Ir 2.78
Ir  0.6667  0.3333  0.5858  3 Al 2.62, 3 Os 2.72, 6 Ir 2.78
Os  0.0000  0.0000  0.5000  6 Ir 2.72, 6 Os 2.78
Os  0.3333  0.6667  0.1667  6 Ir 2.72, 6 Os 2.78
Os  0.6667  0.3333  0.8333  6 Ir 2.72, 6 Os 2.78



Density functional theory data (GGA-PBE) for a relaxed Al4Ir2Os crystal.

Results
- energy (eV per atom) = -6.940
- DOS at the Fermi energy (states/eV per atom) = 0.65
- symmetry = R-3m, No. 166

Cell: 7.1616 7.1616 7.1616 Å, 34.65 34.65 34.65°
Last column: nearest neighbours and their distance in Å.
Fractional coordinates of all 7 atoms:
Al  0.1165  0.1165  0.1165  4 Ir 2.54-2.64, 3 Os 2.66
Al  0.3711  0.3711  0.3711  4 Ir 2.49-2.65, 1 Os 2.60
Al  0.6289  0.6289  0.6289  4 Ir 2.49-2.65, 1 Os 2.60
Al  0.8835  0.8835  0.8835  4 Ir 2.54-2.64, 3 Os 2.66
Ir  0.2475  0.2475  0.2475  8 Al 2.49-2.65
Ir  0.7525  0.7525  0.7525  8 Al 2.49-2.65
Os  0.5000  0.5000  0.5000  8 Al 2.60-2.66



Density functional theory data (GGA-PBE) for a relaxed Al5IrOs4 crystal.

Results
- energy (eV per atom) = -7.754
- DOS at the Fermi energy (states/eV per atom) = 0.83
- symmetry = P4/mmm, No. 123

Cell: 3.0209 3.0209 15.0374 Å, 90.00 90.00 90.00°
Last column: nearest neighbours and their distance in Å.
Fractional coordinates of all 10 atoms:
Al  0.0000  0.0000  0.0000  8 Os 2.61
Al  0.0000  0.0000  0.2001  8 Os 2.61-2.62
Al  0.0000  0.0000  0.3976  4 Os 2.60, 4 Ir 2.63
Al  0.0000  0.0000  0.6024  4 Os 2.60, 4 Ir 2.63
Al  0.0000  0.0000  0.7999  8 Os 2.61-2.62
Ir  0.5000  0.5000  0.5000  8 Al 2.63
Os  0.5000  0.5000  0.0996  8 Al 2.61-2.62
Os  0.5000  0.5000  0.2994  8 Al 2.60-2.61
Os  0.5000  0.5000  0.7006  8 Al 2.60-2.61
Os  0.5000  0.5000  0.9004  8 Al 2.61-2.62



Density functional theory data (GGA-PBE) for a relaxed AlIrOs2 crystal.

Results
- energy (eV per atom) = -8.903
- DOS at the Fermi energy (states/eV per atom) = 0.82
- symmetry = Cm, No. 8

Cell: 8.9720 2.7631 4.6957 Å, 90.00 99.36 90.00°
Last column: nearest neighbours and their distance in Å.
Fractional coordinates of all 8 atoms:
Al  0.0000  0.0000  0.0000  3 Ir 2.60-2.68, 7 Os 2.70-2.84, 2 Al 2.76
Al  0.5000  0.5000  0.0000  3 Ir 2.60-2.68, 7 Os 2.70-2.84, 2 Al 2.76
Ir  0.2500  0.0000  0.7890  3 Al 2.60-2.68, 7 Os 2.72-2.83, 2 Ir 2.76
Ir  0.7500  0.5000  0.7890  3 Al 2.60-2.68, 7 Os 2.72-2.83, 2 Ir 2.76
Os  0.0014  0.5000  0.4950  5 Os 2.63-2.76, 4 Al 2.70-2.75, 3 Ir 2.79-2.83
Os  0.2571  0.5000  0.2898  5 Os 2.63-2.76, 4 Ir 2.72-2.73, 3 Al 2.75-2.84
Os  0.5014  0.0000  0.4950  5 Os 2.63-2.76, 4 Al 2.70-2.75, 3 Ir 2.79-2.83
Os  0.7571  0.0000  0.2898  5 Os 2.63-2.76, 4 Ir 2.72-2.73, 3 Al 2.75-2.84



Density functional theory data (GGA-PBE) for a relaxed AlIr2Os crystal.

Results
- energy (eV per atom) = -8.360
- DOS at the Fermi energy (states/eV per atom) = 0.63
- symmetry = R3m, No. 160

Cell: 2.7727 2.7727 25.8436 Å, 90.00 90.00 120.00°
Last column: nearest neighbours and their distance in Å.
Fractional coordinates of all 12 atoms:
Al  0.0000  0.0000  0.0000  3 Ir 2.59, 3 Os 2.67, 6 Al 2.77
Al  0.3333  0.6667  0.6667  3 Ir 2.59, 3 Os 2.67, 6 Al 2.77
Al  0.6667  0.3333  0.3333  3 Ir 2.59, 3 Os 2.67, 6 Al 2.77
Ir  0.0000  0.0000  0.2546  3 Al 2.59, 9 Ir 2.77-2.78
Ir  0.0000  0.0000  0.4997  3 Os 2.69, 9 Ir 2.77-2.78
Ir  0.3333  0.6667  0.1664  3 Os 2.69, 9 Ir 2.77-2.78
Ir  0.3333  0.6667  0.9212  3 Al 2.59, 9 Ir 2.77-2.78
Ir  0.6667  0.3333  0.5879  3 Al 2.59, 9 Ir 2.77-2.78
Ir  0.6667  0.3333  0.8331  3 Os 2.69, 9 Ir 2.77-2.78
Os  0.0000  0.0000  0.7495  3 Al 2.67, 3 Ir 2.69, 6 Os 2.77
Os  0.3333  0.6667  0.4162  3 Al 2.67, 3 Ir 2.69, 6 Os 2.77
Os  0.6667  0.3333  0.0828  3 Al 2.67, 3 Ir 2.69, 6 Os 2.77



Density functional theory data (GGA-PBE) for a relaxed AlIr2Os crystal.

Results
- energy (eV per atom) = -8.406
- DOS at the Fermi energy (states/eV per atom) = 0.90
- symmetry = C2/m, No. 12

Cell: 9.0138 2.7612 4.6735 Å, 90.00 99.86 90.00°
Last column: nearest neighbours and their distance in Å.
Fractional coordinates of all 8 atoms:
Al  0.0000  0.0000  0.0000  4 Os 2.71, 6 Ir 2.72-2.73, 2 Al 2.76
Al  0.5000  0.5000  0.0000  4 Os 2.71, 6 Ir 2.72-2.73, 2 Al 2.76
Ir  0.2500  0.0000  0.7479  6 Ir 2.70-2.76, 3 Os 2.70-2.73, 3 Al 2.72-2.73
Ir  0.2500  0.5000  0.2521  6 Ir 2.70-2.76, 3 Os 2.70-2.73, 3 Al 2.72-2.73
Ir  0.7500  0.0000  0.2521  6 Ir 2.70-2.76, 3 Os 2.70-2.73, 3 Al 2.72-2.73
Ir  0.7500  0.5000  0.7479  6 Ir 2.70-2.76, 3 Os 2.70-2.73, 3 Al 2.72-2.73
Os  0.0000  0.5000  0.5000  6 Ir 2.70-2.73, 4 Al 2.71, 2 Os 2.76
Os  0.5000  0.0000  0.5000  6 Ir 2.70-2.73, 4 Al 2.71, 2 Os 2.76



Density functional theory data (GGA-PBE) for a relaxed AlIrOs3 crystal.

Results
- energy (eV per atom) = -7.016
- DOS at the Fermi energy (states/eV per atom) = 1.58
- symmetry = Pm-3m, No. 221

Cell: 4.7034 4.7034 4.7034 Å, 90.00 90.00 90.00°
Last column: nearest neighbours and their distance in Å.
Fractional coordinates of all 5 atoms:
Al  0.0000  0.0000  0.0000  12 Os 3.33
Ir  0.5000  0.5000  0.5000  6 Os 2.35
Os  0.0000  0.5000  0.5000  2 Ir 2.35
Os  0.5000  0.0000  0.5000  2 Ir 2.35
Os  0.5000  0.5000  0.0000  2 Ir 2.35